No. 1
A plane-wave DFT calculation with PBE-GGA was carried out for a relaxed ScBeCoRh2 crystal.

Geometry as CIF:
```
data_ScBeCoRh2
_chemical_formula_sum 'Sc1 Be1 Co1 Rh2'
_space_group_name_H-M_alt 'P 4/m m m'
_space_group_IT_number 123
_space_group_name_Hall '-P 4 2'
_cell_length_a 4.601
_cell_length_b 4.601
_cell_length_c 4.322
_cell_angle_alpha 90.00
_cell_angle_beta 90.00
_cell_angle_gamma 90.00
loop_
_atom_site_label
_atom_site_type_symbol
_atom_site_fract_x
_atom_site_fract_y
_atom_site_fract_z
Sc1 Sc 0.000 0.000 0.000
Be1 Be 0.500 0.500 0.500
Co1 Co 0.000 0.000 0.500
Rh1 Rh 0.000 0.500 0.000
```

- DFT total energy: -5.165 eV/atom
- Fermi-level density of states: 1.1399 states/eV per atom
- Energy of formation from the pure elements: 1.21 eV/atom

***

No. 2
A plane-wave DFT calculation with PBE-GGA was carried out for a relaxed MoRuPt2 crystal.

Geometry as CIF:
```
data_MoRuPt2
_chemical_formula_sum 'Mo1 Ru1 Pt2'
_space_group_name_H-M_alt 'P 4 m m'
_space_group_IT_number 99
_cell_length_a 2.767
_cell_length_b 2.767
_cell_length_c 7.950
_cell_angle_alpha 90.00
_cell_angle_beta 90.00
_cell_angle_gamma 90.00
loop_
_space_group_symop_operation_xyz
'x,y,z'
'-y,x,z'
'-x,-y,z'
'y,-x,z'
'-x,y,z'
'y,x,z'
'x,-y,z'
'-y,-x,z'
loop_
_atom_site_label
_atom_site_type_symbol
_atom_site_fract_x
_atom_site_fract_y
_atom_site_fract_z
Mo1 Mo 0.000 0.000 0.000
Ru1 Ru 0.500 0.500 0.768
Pt1 Pt 0.000 0.000 0.517
Pt2 Pt 0.500 0.500 0.250
```

- DFT total energy: -8.183 eV/atom
- Offset from the most stable computed form: 0.222 eV/f.u.
- Fermi-level density of states: 1.2053 states/eV per atom
- Energy of formation from the pure elements: -0.14 eV/atom

***

No. 3
A plane-wave DFT calculation with PBE-GGA was carried out for a relaxed Li5Nd2Au5 crystal.

Geometry as CIF:
```
data_Li5Nd2Au5
_chemical_formula_sum 'Li5 Nd2 Au5'
_space_group_name_H-M_alt 'P m m m'
_space_group_IT_number 47
_cell_length_a 4.555
_cell_length_b 5.325
_cell_length_c 9.681
_cell_angle_alpha 90.00
_cell_angle_beta 90.00
_cell_angle_gamma 90.00
loop_
_space_group_symop_operation_xyz
'x,y,z'
'-x,-y,-z'
'-x,-y,z'
'x,y,-z'
'x,-y,-z'
'-x,y,z'
'-x,y,-z'
'x,-y,z'
loop_
_atom_site_label
_atom_site_type_symbol
_atom_site_fract_x
_atom_site_fract_y
_atom_site_fract_z
Li1 Li 0.000 0.000 0.000
Li2 Li 0.000 0.253 0.255
Nd1 Nd 0.500 0.000 0.500
Nd2 Nd 0.500 0.500 0.000
Au1 Au 0.000 0.500 0.500
Au2 Au 0.500 0.000 0.168
Au3 Au 0.500 0.500 0.318
```

- DFT total energy: -3.525 eV/atom
- Fermi-level density of states: 0.4416 states/eV per atom
- Energy of formation from the pure elements: -0.57 eV/atom

***

> Look up the energy of formation from the pure elements of the first one.

1.21 eV/atom